DFT (PBE) results for a geometry-optimized ZnPt2Br structure.

Properties
M_tot	0.0	μB/f.u.
ΔE_f (raw)	0.23	eV/atom
crystal system	orthorhombic

The structure in CIF format:
```
data_ZnPt2Br
_chemical_formula_sum 'Zn1 Pt2 Br1'
_cell_length_a 2.980
_cell_length_b 4.471
_cell_length_c 5.190
_cell_angle_alpha 90.00
_cell_angle_beta 90.00
_cell_angle_gamma 90.00
_space_group_name_H-M_alt 'P m m m'
_space_group_IT_number 47
loop_
_space_group_symop_operation_xyz
'x,y,z'
'-x,-y,-z'
'-x,-y,z'
'x,y,-z'
'x,-y,-z'
'-x,y,z'
'-x,y,-z'
'x,-y,z'
loop_
_atom_site_label
_atom_site_fract_x
_atom_site_fract_y
_atom_site_fract_z
Zn1 0.000 0.000 0.000
Pt1 0.000 0.500 0.500
Pt2 0.500 0.500 0.000
Br1 0.500 0.000 0.500
```

DFT (PBE) results for a geometry-optimized ZnPtBr2 structure.

Properties
M_tot	0.0	μB/f.u.
ΔE_f (raw)	0.22	eV/atom
crystal system	trigonal

The structure in CIF format:
```
data_ZnPtBr2
_chemical_formula_sum 'Zn3 Pt3 Br6'
_cell_length_a 4.0820
_cell_length_b 4.0820
_cell_length_c 18.2507
_cell_angle_alpha 90.00
_cell_angle_beta 90.00
_cell_angle_gamma 120.00
_space_group_name_H-M_alt 'R -3 m'
_space_group_IT_number 166
_space_group_name_Hall '-R 3 2"'
loop_
_atom_site_label
_atom_site_fract_x
_atom_site_fract_y
_atom_site_fract_z
Zn1 0.0000 0.0000 0.0000
Pt1 0.0000 0.0000 0.5000
Br1 0.0000 0.0000 0.2438
```

DFT (PBE) results for a geometry-optimized ZnPtBr2 structure.

Properties
M_tot	0.0	μB/f.u.
ΔE_f (raw)	0.20	eV/atom
crystal system	tetragonal

The structure in CIF format:
```
data_ZnPtBr2
_chemical_formula_sum 'Zn2 Pt2 Br4'
_cell_length_a 3.735
_cell_length_b 3.735
_cell_length_c 13.458
_cell_angle_alpha 90.00
_cell_angle_beta 90.00
_cell_angle_gamma 90.00
_space_group_name_H-M_alt 'I -4 m 2'
_space_group_IT_number 119
_space_group_name_Hall 'I -4 -2'
loop_
_atom_site_label
_atom_site_fract_x
_atom_site_fract_y
_atom_site_fract_z
Zn1 0.000 0.000 0.000
Pt1 0.000 0.500 0.250
Br1 0.000 0.000 0.500
Br2 0.000 0.500 0.750
```

DFT (PBE) results for a geometry-optimized ZnPtBr2 structure.

Properties
M_tot	0.0	μB/f.u.
ΔE_f (raw)	-0.24	eV/atom
crystal system	monoclinic

The structure in CIF format:
```
data_ZnPtBr2
_chemical_formula_sum 'Zn2 Pt2 Br4'
_cell_length_a 7.307
_cell_length_b 4.073
_cell_length_c 7.320
_cell_angle_alpha 90.00
_cell_angle_beta 92.83
_cell_angle_gamma 90.00
_space_group_name_H-M_alt 'C 1 m 1'
_space_group_IT_number 8
loop_
_space_group_symop_operation_xyz
'x,y,z'
'x,-y,z'
'x+1/2,y+1/2,z'
'x+1/2,-y+1/2,z'
loop_
_atom_site_label
_atom_site_fract_x
_atom_site_fract_y
_atom_site_fract_z
Zn1 0.000 0.000 0.000
Pt1 0.184 0.500 0.110
Br1 0.078 0.500 0.779
Br2 0.321 0.000 0.316
```

DFT (PBE) results for a geometry-optimized ZnPtBr2 structure.

Properties
M_tot	0.0	μB/f.u.
ΔE_f (raw)	-0.19	eV/atom
crystal system	monoclinic

The structure in CIF format:
```
data_ZnPtBr2
_chemical_formula_sum 'Zn1 Pt1 Br2'
_cell_length_a 3.662
_cell_length_b 3.594
_cell_length_c 7.631
_cell_angle_alpha 90.00
_cell_angle_beta 96.67
_cell_angle_gamma 90.00
_space_group_name_H-M_alt 'P 1 m 1'
_space_group_IT_number 6
loop_
_space_group_symop_operation_xyz
'x,y,z'
'x,-y,z'
loop_
_atom_site_label
_atom_site_fract_x
_atom_site_fract_y
_atom_site_fract_z
Zn1 0.000 0.000 0.000
Pt1 0.518 0.500 0.080
Br1 0.263 0.500 0.763
Br2 0.646 0.000 0.339
```

DFT (PBE) results for a geometry-optimized Zn2PtBr structure.

Properties
M_tot	0.0	μB/f.u.
ΔE_f (raw)	0.36	eV/atom
crystal system	cubic

The structure in CIF format:
```
data_Zn2PtBr
_chemical_formula_sum 'Zn8 Pt4 Br4'
_cell_length_a 6.603
_cell_length_b 6.603
_cell_length_c 6.603
_cell_angle_alpha 90.00
_cell_angle_beta 90.00
_cell_angle_gamma 90.00
_space_group_name_H-M_alt 'F -4 3 m'
_space_group_IT_number 216
_space_group_name_Hall 'F -4 2 3'
loop_
_atom_site_label
_atom_site_fract_x
_atom_site_fract_y
_atom_site_fract_z
Zn1 0.000 0.000 0.000
Zn2 0.250 0.250 0.250
Pt1 0.250 0.250 0.750
Br1 0.000 0.000 0.500
```

DFT (PBE) results for a geometry-optimized Zn2PtBr structure.

Properties
M_tot	0.0	μB/f.u.
ΔE_f (raw)	0.04	eV/atom
crystal system	orthorhombic

The structure in CIF format:
```
data_Zn2PtBr
_chemical_formula_sum 'Zn4 Pt2 Br2'
_cell_length_a 3.199
_cell_length_b 7.268
_cell_length_c 8.175
_cell_angle_alpha 90.00
_cell_angle_beta 90.00
_cell_angle_gamma 90.00
_space_group_name_H-M_alt 'I m m m'
_space_group_IT_number 71
_space_group_name_Hall '-I 2 2'
loop_
_atom_site_label
_atom_site_fract_x
_atom_site_fract_y
_atom_site_fract_z
Zn1 0.000 0.000 0.236
Pt1 0.000 0.500 0.500
Br1 0.000 0.500 0.000
```

DFT (PBE) results for a geometry-optimized Zn2PtBr structure.

Properties
M_tot	0.0	μB/f.u.
ΔE_f (raw)	-0.24	eV/atom
crystal system	orthorhombic

The structure in CIF format:
```
data_Zn2PtBr
_chemical_formula_sum 'Zn4 Pt2 Br2'
_cell_length_a 3.305
_cell_length_b 3.718
_cell_length_c 14.124
_cell_angle_alpha 90.00
_cell_angle_beta 90.00
_cell_angle_gamma 90.00
_space_group_name_H-M_alt 'I m m 2'
_space_group_IT_number 44
loop_
_space_group_symop_operation_xyz
'x,y,z'
'-x,-y,z'
'-x,y,z'
'x,-y,z'
'x+1/2,y+1/2,z+1/2'
'-x+1/2,-y+1/2,z+1/2'
'-x+1/2,y+1/2,z+1/2'
'x+1/2,-y+1/2,z+1/2'
loop_
_atom_site_label
_atom_site_fract_x
_atom_site_fract_y
_atom_site_fract_z
Zn1 0.000 0.000 0.000
Zn2 0.000 0.500 0.175
Pt1 0.000 0.000 0.535
Br1 0.000 0.500 0.772
```

DFT (PBE) results for a geometry-optimized Zn2PtBr structure.

Properties
M_tot	0.0	μB/f.u.
ΔE_f (raw)	-0.33	eV/atom
crystal system	monoclinic

The structure in CIF format:
```
data_Zn2PtBr
_chemical_formula_sum 'Zn2 Pt1 Br1'
_cell_length_a 3.494
_cell_length_b 3.685
_cell_length_c 6.910
_cell_angle_alpha 90.00
_cell_angle_beta 90.91
_cell_angle_gamma 90.00
_space_group_name_H-M_alt 'P 1 m 1'
_space_group_IT_number 6
loop_
_space_group_symop_operation_xyz
'x,y,z'
'x,-y,z'
loop_
_atom_site_label
_atom_site_fract_x
_atom_site_fract_y
_atom_site_fract_z
Zn1 0.000 0.000 0.000
Zn2 0.010 0.500 0.322
Pt1 0.508 0.000 0.268
Br1 0.988 0.500 0.757
```

DFT (PBE) results for a geometry-optimized ZnPt2Br structure.

Properties
M_tot	0.0	μB/f.u.
ΔE_f (raw)	0.37	eV/atom
crystal system	cubic

The structure in CIF format:
```
data_ZnPt2Br
_chemical_formula_sum 'Zn4 Pt8 Br4'
_cell_length_a 6.521
_cell_length_b 6.521
_cell_length_c 6.521
_cell_angle_alpha 90.00
_cell_angle_beta 90.00
_cell_angle_gamma 90.00
_space_group_name_H-M_alt 'F -4 3 m'
_space_group_IT_number 216
_space_group_name_Hall 'F -4 2 3'
loop_
_atom_site_label
_atom_site_fract_x
_atom_site_fract_y
_atom_site_fract_z
Zn1 0.000 0.000 0.000
Pt1 0.000 0.000 0.500
Pt2 0.250 0.250 0.750
Br1 0.250 0.250 0.250
```

DFT (PBE) results for a geometry-optimized ZnPtBr2 structure.

Properties
M_tot	2.0	μB/f.u.
ΔE_f (raw)	0.30	eV/atom
crystal system	trigonal

The structure in CIF format:
```
data_ZnPtBr2
_chemical_formula_sum 'Zn3 Pt3 Br6'
_cell_length_a 3.9086
_cell_length_b 3.9086
_cell_length_c 29.8709
_cell_angle_alpha 90.00
_cell_angle_beta 90.00
_cell_angle_gamma 120.00
_space_group_name_H-M_alt 'R -3 m'
_space_group_IT_number 166
_space_group_name_Hall '-R 3 2"'
loop_
_atom_site_label
_atom_site_fract_x
_atom_site_fract_y
_atom_site_fract_z
Zn1 0.0000 0.0000 0.0000
Pt1 0.0000 0.0000 0.5000
Br1 0.0000 0.0000 0.1184
```

DFT (PBE) results for a geometry-optimized ZnPt2Br structure.

Properties
M_tot	0.0	μB/f.u.
ΔE_f (raw)	0.32	eV/atom
crystal system	tetragonal

The structure in CIF format:
```
data_ZnPt2Br
_chemical_formula_sum 'Zn2 Pt4 Br2'
_cell_length_a 3.856
_cell_length_b 3.856
_cell_length_c 9.110
_cell_angle_alpha 90.00
_cell_angle_beta 90.00
_cell_angle_gamma 90.00
_space_group_name_H-M_alt 'I -4 m 2'
_space_group_IT_number 119
_space_group_name_Hall 'I -4 -2'
loop_
_atom_site_label
_atom_site_fract_x
_atom_site_fract_y
_atom_site_fract_z
Zn1 0.000 0.000 0.000
Pt1 0.000 0.000 0.500
Pt2 0.000 0.500 0.250
Br1 0.000 0.500 0.750
```

Number 1: D(E_F) 3.001 states/eV per cell, distance to the lowest polymorph of the same formula 116 kJ/mol of formula units. Number 2: D(E_F) 12.587 states/eV per cell, distance to the lowest polymorph of the same formula 176 kJ/mol of formula units. Number 3: D(E_F) 4.361 states/eV per cell, distance to the lowest polymorph of the same formula 170 kJ/mol of formula units. Number 4: D(E_F) 0.070 states/eV per cell, distance to the lowest polymorph of the same formula 0 kJ/mol of formula units. Number 5: D(E_F) 1.381 states/eV per cell, distance to the lowest polymorph of the same formula 17 kJ/mol of formula units. Number 6: D(E_F) 14.186 states/eV per cell, distance to the lowest polymorph of the same formula 264 kJ/mol of formula units. Number 7: D(E_F) 1.244 states/eV per cell, distance to the lowest polymorph of the same formula 141 kJ/mol of formula units. Number 8: D(E_F) 2.133 states/eV per cell, distance to the lowest polymorph of the same formula 34 kJ/mol of formula units. Number 9: D(E_F) 0.767 states/eV per cell, distance to the lowest polymorph of the same formula 0 kJ/mol of formula units. Number 10: D(E_F) 21.258 states/eV per cell, distance to the lowest polymorph of the same formula 172 kJ/mol of formula units. Number 11: D(E_F) 1.097 states/eV per cell, distance to the lowest polymorph of the same formula 207 kJ/mol of formula units. Number 12: D(E_F) 4.012 states/eV per cell, distance to the lowest polymorph of the same formula 150 kJ/mol of formula units.